(1)
Material: PrSm2Te4
Method: DFT, PBE
State: relaxed

Properties
As for the electronic total energy: -5.2413 eV/atom. The calculation puts the calculated volume at 37.23 Å³/atom. As for the total moment: 0.0 μB per formula unit. The space group is C2/m, No. 12.

a = 8.735 Å, b = 8.735 Å, c = 7.740 Å
α = 115.75°, β = 115.75°, γ = 29.60°
Sites, in units of the cell vectors:
Pr1 0.000 0.000 0.000
Sm1 0.257 0.257 0.268
Sm2 0.743 0.743 0.732
Te1 0.125 0.125 0.455
Te2 0.367 0.367 0.026
Te3 0.633 0.633 0.974
Te4 0.875 0.875 0.545


(2)
Material: Li2MnRh
Method: DFT, PBE
State: relaxed

Properties
As for the electronic total energy: -5.1318 eV/atom. For the formation energy, the calculation gives -0.18 eV/f.u. The calculation puts the calculated volume at 13.94 Å³/atom. As for the total moment: 3.9 μB per formula unit. The space group is Pmmm, No. 47. The relative energy among the computed polymorphs comes out at 12 meV per atom.

a = 2.995 Å, b = 4.193 Å, c = 4.439 Å
α = 90.00°, β = 90.00°, γ = 90.00°
Sites, in units of the cell vectors:
Li1 0.000 0.000 0.000
Li2 0.500 0.500 0.000
Mn1 0.000 0.500 0.500
Rh1 0.500 0.000 0.500